Compound: ZrAlCu2
Source: Alexandria via LeMat-Bulk
Functional: GGA-PBE
Structure: relaxed

Unit cell a=4.1279 b=4.1279 c=4.6365 alpha=90.00 beta=90.00 gamma=120.00
Atoms (fractional coordinates):
Zr (0.0000, 0.0000, 0.0000)
Al (0.3333, 0.6667, 0.5000)
Cu (0.6667, 0.3333, 0.2593)
Cu (0.6667, 0.3333, 0.7407)

Results
Its volume is 68.4 Å³/cell. Its energy of formation from the pure elements is -0.08 eV/atom.